Computed, not measured: a geometry-optimized PrHoPdPt structure at the GGA-PBE level of DFT.

The structure belongs to space group F-43m (No. 216); the cell edges are 7.133, 7.133 and 7.133 Å and the angles 90.00°, 90.00° and 90.00°. The inequivalent atoms are Pr at (0.000, 0.000, 0.000), Ho at (0.000, 0.000, 0.500), Pd at (0.250, 0.250, 0.250) and Pt at (0.250, 0.250, 0.750).

The formation energy comes out at -3.82 eV/f.u. For the energy above the most stable polymorph in this dataset, the calculation gives 73.2 meV/atom. The volume is 363 Å³ per cell. The calculation puts the total magnetization at 0.000 μB per formula unit.